1.
Li3Mg | meta-GGA SCAN | single point on PBEsol structure

Cell lengths 3.0797, 3.0797, 9.9764 Å; angles 90.00, 90.00, 120.00 degrees
Space group P-6m2 (No. 187)
Symmetry-distinct sites (fractional):
Li: 0.0000 0.0000 0.0000 [1 per cell]
Li: 0.3333 0.6667 0.2486 [2 per cell]
Mg: 0.0000 0.0000 0.5000 [1 per cell]

Computed properties:
VASP energy: -12.2 eV for the cell shown
E_form: -0.015 eV/atom


2.
HfAlS2 | meta-GGA SCAN | single point on PBEsol structure

Cell lengths 3.3840, 3.3840, 23.1143 Å; angles 90.00, 90.00, 120.00 degrees
Space group R-3m (No. 166, hexagonal axes)
Symmetry-distinct sites (fractional):
Hf: 0.0000 0.0000 0.0000 [3 per cell]
Al: 0.0000 0.0000 0.5000 [3 per cell]
S: 0.0000 0.0000 0.1079 [6 per cell]

Computed properties:
VASP energy: -279.0 eV for the cell shown
Formation energy from raw total energies: -827 meV/atom


What did we get for total moment? Answer: 0.19, 0.00 Bohr magnetons per cell, in the order shown.
What did we get for theoretical density? Answer: 0.91, 5.86 Mg/m³, in the order shown.